# 1
Compound: LiNdSn2Pd4
Source: Alexandria
Functional: GGA-PBE
Structure: relaxed

It has space group R-3m (No. 166, hexagonal axes), with a = 4.5512 Å, b = 4.5512 Å, c = 25.3155 Å, α = 90.00°, β = 90.00° and γ = 120.00°. The asymmetric unit holds Li at (0.0000, 0.0000, 0.0000), Nd at (0.0000, 0.0000, 0.5000), Sn at (0.0000, 0.0000, 0.2602), Pd at (0.0000, 0.0000, 0.1002) and Pd at (0.0000, 0.0000, 0.3695).

For the size of the total moment, the calculation gives 0.000 μB per formula unit. Its total energy is -5.145 eV per atom.

# 2
Compound: SrLiNdPd
Source: Alexandria
Functional: GGA-PBE
Structure: relaxed

It has space group F-43m (No. 216), with a = 7.494 Å, b = 7.494 Å, c = 7.494 Å, α = 90.00°, β = 90.00° and γ = 90.00°. The asymmetric unit holds Sr at (0.000, 0.000, 0.000), Li at (0.250, 0.250, 0.250), Nd at (0.000, 0.000, 0.500) and Pd at (0.250, 0.250, 0.750).

For the size of the total moment, the calculation gives 0.001 μB per formula unit. Its total energy is -3.631 eV per atom.

# 3
Compound: LiNd2TiPd6
Source: Alexandria
Functional: GGA-PBE
Structure: relaxed

It has space group C2/m (No. 12), with a = 10.298 Å, b = 5.950 Å, c = 7.250 Å, α = 90.00°, β = 118.26° and γ = 90.00°. The asymmetric unit holds Li at (0.000, 0.000, 0.000), Nd at (0.225, 0.000, 0.673), Ti at (0.000, 0.500, 0.500), Pd at (0.016, 0.259, 0.786) and Pd at (0.243, 0.000, 0.216).

For the size of the total moment, the calculation gives 0.000 μB per formula unit. Its total energy is -5.512 eV per atom.

# 4
Compound: LiNdTlPd
Source: Alexandria
Functional: GGA-PBE
Structure: relaxed

It has space group F-43m (No. 216), with a = 6.978 Å, b = 6.978 Å, c = 6.978 Å, α = 90.00°, β = 90.00° and γ = 90.00°. The asymmetric unit holds Li at (0.000, 0.000, 0.000), Nd at (0.250, 0.250, 0.750), Tl at (0.250, 0.250, 0.250) and Pd at (0.000, 0.000, 0.500).

For the size of the total moment, the calculation gives 0.006 μB per formula unit. Its total energy is -4.016 eV per atom.

# 5
Compound: LiNdTl2Pd4
Source: Alexandria
Functional: GGA-PBE
Structure: relaxed

It has space group R-3m (No. 166, hexagonal axes), with a = 4.7290 Å, b = 4.7290 Å, c = 23.8535 Å, α = 90.00°, β = 90.00° and γ = 120.00°. The asymmetric unit holds Li at (0.0000, 0.0000, 0.0000), Nd at (0.0000, 0.0000, 0.5000), Tl at (0.0000, 0.0000, 0.2556), Pd at (0.0000, 0.0000, 0.1090) and Pd at (0.0000, 0.0000, 0.3743).

For the size of the total moment, the calculation gives 0.000 μB per formula unit. Its total energy is -4.482 eV per atom.

# 6
Compound: LiNdTm2Pd4
Source: Alexandria
Functional: GGA-PBE
Structure: relaxed

It has space group R-3m (No. 166, hexagonal axes), with a = 4.8005 Å, b = 4.8005 Å, c = 24.5056 Å, α = 90.00°, β = 90.00° and γ = 120.00°. The asymmetric unit holds Li at (0.0000, 0.0000, 0.0000), Nd at (0.0000, 0.0000, 0.5000), Tm at (0.0000, 0.0000, 0.2620), Pd at (0.0000, 0.0000, 0.1102) and Pd at (0.0000, 0.0000, 0.3766).

For the size of the total moment, the calculation gives 0.000 μB per formula unit. Its total energy is -5.320 eV per atom.